No. 1
The following is a DFT calculation (PBE) of crystalline LuGe2Pt at its relaxed geometry.

ΔE_f in meV per atom: -75
Magnetization in Bohr magnetons per cell: 0.00
Space group: R-3m, No. 166

```
LuGe2Pt
1.0
3.3184 0.0000 0.0000
1.6592 2.8738 0.0000
1.6592 0.9579 9.2852
Ge Lu Pt
2 1 1
direct
0.1035 0.1035 0.6896 Ge
0.8965 0.8965 0.3104 Ge
0.0000 0.0000 0.0000 Lu
0.5000 0.5000 0.5000 Pt
```

***

No. 2
The following is a DFT calculation (PBE) of crystalline Lu2Ge3Pt9 at its relaxed geometry.

ΔE_f in meV per atom: -802
Magnetization in Bohr magnetons per cell: 0.00
Space group: C2/c, No. 15

```
Lu2Ge3Pt9
1.0
-4.5323 -4.7563 4.1498
-3.4729 -6.0224 -3.4720
4.4589 -8.8016 2.0818
Lu Ge Pt
4 6 18
direct
0.4170 0.2474 0.2512 Lu
0.5830 0.7526 0.7488 Lu
0.7526 0.5830 0.2488 Lu
0.2474 0.4170 0.7512 Lu
0.5000 0.0000 0.0000 Ge
0.0000 0.5000 0.5000 Ge
0.6423 0.1795 0.4974 Ge
0.3577 0.8205 0.5026 Ge
0.8205 0.3577 0.0026 Ge
0.1795 0.6423 0.9974 Ge
0.3007 0.9128 0.2565 Pt
0.6993 0.0872 0.7435 Pt
0.0872 0.6993 0.2435 Pt
0.9128 0.3007 0.7565 Pt
0.4782 0.6401 0.0759 Pt
0.5218 0.3599 0.9241 Pt
0.3599 0.5218 0.4241 Pt
0.6401 0.4782 0.5759 Pt
0.8653 0.1347 0.2500 Pt
0.1347 0.8653 0.7500 Pt
0.7912 0.9719 0.0840 Pt
0.2088 0.0281 0.9160 Pt
0.0281 0.2088 0.4160 Pt
0.9719 0.7912 0.5840 Pt
0.6928 0.8591 0.4201 Pt
0.3072 0.1409 0.5799 Pt
0.1409 0.3072 0.0799 Pt
0.8591 0.6928 0.9201 Pt
```

***

No. 3
The following is a DFT calculation (PBE) of crystalline LuPuGePt at its relaxed geometry.

ΔE_f in meV per atom: -723
Magnetization in Bohr magnetons per cell: 5.19
Space group: F-43m, No. 216

```
LuPuGePt
1.0
-2.6068 2.4336 -3.4640
-4.5823 -1.5200 -1.1873
-3.9428 2.7278 1.3157
Ge Lu Pt Pu
1 1 1 1
direct
0.0000 0.0000 0.0000 Ge
0.2500 0.2500 0.2500 Lu
0.5000 0.5000 0.5000 Pt
0.7500 0.7500 0.7500 Pu
```

***

No. 4
The following is a DFT calculation (PBE) of crystalline SmLuGePt at its relaxed geometry.

ΔE_f in meV per atom: -909
Magnetization in Bohr magnetons per cell: 0.00
Space group: F-43m, No. 216

```
SmLuGePt
1.0
5.0148 0.0000 0.0000
2.5074 4.3429 0.0000
2.5074 1.4476 4.0946
Ge Lu Sm Pt
1 1 1 1
direct
0.7500 0.7500 0.7500 Ge
0.5000 0.5000 0.5000 Lu
0.0000 0.0000 0.0000 Sm
0.2500 0.2500 0.2500 Pt
```

***

No. 5
The following is a DFT calculation (PBE) of crystalline TbLuGePt at its relaxed geometry.

ΔE_f in meV per atom: -949
Magnetization in Bohr magnetons per cell: 0.00
Space group: F-43m, No. 216

```
TbLuGePt
1.0
4.9702 0.0000 0.0000
2.4851 4.3043 0.0000
2.4851 1.4348 4.0581
Ge Lu Tb Pt
1 1 1 1
direct
0.2500 0.2500 0.2500 Ge
0.5000 0.5000 0.5000 Lu
0.0000 0.0000 0.0000 Tb
0.7500 0.7500 0.7500 Pt
```

***

No. 6
The following is a DFT calculation (PBE) of crystalline YLuGePt at its relaxed geometry.

ΔE_f in meV per atom: -955
Magnetization in Bohr magnetons per cell: 0.00
Space group: F-43m, No. 216

```
YLuGePt
1.0
4.9643 0.0000 0.0000
2.4822 4.2992 0.0000
2.4822 1.4331 4.0534
Y Ge Lu Pt
1 1 1 1
direct
0.0000 0.0000 0.0000 Y
0.2500 0.2500 0.2500 Ge
0.5000 0.5000 0.5000 Lu
0.7500 0.7500 0.7500 Pt
```

***

No. 7
The following is a DFT calculation (PBE) of crystalline LuPu2Ge at its relaxed geometry.

ΔE_f in meV per atom: -286
Magnetization in Bohr magnetons per cell: 11.82
Space group: P4/mmm, No. 123
Distance to the lowest polymorph of the same formula in eV per formula unit: 0.00

```
LuPu2Ge
1.0
-1.2596 4.7693 -0.0732
-3.2002 -0.8884 -2.8139
-2.7335 -0.6709 3.3206
Ge Lu Pu
1 1 2
direct
0.5000 0.0000 0.0000 Ge
0.5000 0.5000 0.5000 Lu
0.0000 0.0000 0.5000 Pu
0.0000 0.5000 0.0000 Pu
```

***

No. 8
The following is a DFT calculation (PBE) of crystalline Lu2PuGe at its relaxed geometry.

ΔE_f in meV per atom: -238
Magnetization in Bohr magnetons per cell: 6.65
Space group: P4/mmm, No. 123
Distance to the lowest polymorph of the same formula in eV per formula unit: 0.00

```
Lu2PuGe
1.0
-3.1488 2.9775 -0.9925
-2.2092 -3.1886 -2.5570
-2.4243 -1.3178 3.7379
Ge Lu Pu
1 2 1
direct
0.5000 0.5000 0.5000 Ge
0.0000 0.0000 0.5000 Lu
0.0000 0.5000 0.0000 Lu
0.5000 0.0000 0.0000 Pu
```

***

magnetization of number 2 (Lu2Ge3Pt9)?
0.00 Bohr magnetons per cell